Record 1
VASP calculation (PBE) on an optimized crystal structure of MgIn2Se.

Output
- Raw formation energy: -0.031 eV/f.u.
- Total magnetic moment: 0.00 μB per formula unit
- Space-group type: Fm-3m (225)

a b c (Å): 5.3134 5.3134 5.3134
angles (deg): 60.00 60.00 60.00
With the nearest neighbours (Å) after each atom.
Fractional positions:
In  0.2500  0.2500  0.2500  4 Se 3.25, 4 Mg 3.25
In  0.7500  0.7500  0.7500  4 Se 3.25, 4 Mg 3.25
Se  0.5000  0.5000  0.5000  8 In 3.25
Mg  0.0000  0.0000  0.0000  8 In 3.25

---

Record 2
VASP calculation (PBE) on an optimized crystal structure of MgIn6Se8.

Output
- Raw formation energy: -5.042 eV/f.u.
- Total magnetic moment: 0.00 μB per formula unit
- Space-group type: R-3 (148)

a b c (Å): 8.0132 8.0132 8.0132
angles (deg): 97.48 97.48 97.48
With the nearest neighbours (Å) after each atom.
Fractional positions:
In  0.3666  0.5386  0.1572  5 Se 2.72-2.94
In  0.8428  0.6334  0.4614  5 Se 2.72-2.94
In  0.4614  0.8428  0.6334  5 Se 2.72-2.94
In  0.6334  0.4614  0.8428  5 Se 2.72-2.94
In  0.5386  0.1572  0.3666  5 Se 2.72-2.94
In  0.1572  0.3666  0.5386  5 Se 2.72-2.94
Se  0.3250  0.6143  0.8349  4 In 2.72-2.94
Se  0.7952  0.7952  0.7952  1 Mg 2.45
Se  0.6750  0.3857  0.1651  4 In 2.72-2.94
Se  0.3857  0.1651  0.6750  4 In 2.72-2.94
Se  0.2048  0.2048  0.2048  1 Mg 2.45
Se  0.1651  0.6750  0.3857  4 In 2.72-2.94
Se  0.8349  0.3250  0.6143  4 In 2.72-2.94
Se  0.6143  0.8349  0.3250  4 In 2.72-2.94
Mg  0.0000  0.0000  0.0000  2 Se 2.45

---

Record 3
VASP calculation (PBE) on an optimized crystal structure of MgInSe2.

Output
- Raw formation energy: -1.810 eV/f.u.
- Total magnetic moment: 0.00 μB per formula unit
- Space-group type: P4/mmm (123)

a b c (Å): 3.5211 3.5211 7.2838
angles (deg): 90.00 90.00 90.00
With the nearest neighbours (Å) after each atom.
Fractional positions:
In  0.5000  0.5000  0.2500  8 Se 3.23, 4 In 3.52
Se  0.0000  0.0000  0.9672  4 Mg 2.95, 1 Se 3.16, 4 In 3.23
Se  0.0000  0.0000  0.5328  4 Mg 2.95, 1 Se 3.16, 4 In 3.23
Mg  0.5000  0.5000  0.7500  8 Se 2.95

---

> Which value of raw formation energy does entry 1 give?

-0.031 eV/f.u.